The following is a GGA+U calculation of a relaxed Ba2WF2 crystal, from the Alexandria database.

Results
M_tot   0.9050 μB per atom
Uncorrected energy   -4.313 eV/atom

Cell and atoms, written as CIF:
```
data_Ba2WF2
_chemical_formula_sum 'Ba4 W2 F4'
_cell_length_a 8.346
_cell_length_b 8.346
_cell_length_c 3.573
_cell_angle_alpha 90.00
_cell_angle_beta 90.00
_cell_angle_gamma 90.00
_space_group_name_H-M_alt 'P 4/m b m'
_space_group_IT_number 127
_space_group_name_Hall '-P 4 2ab'
loop_
_atom_site_label
_atom_site_fract_x
_atom_site_fract_y
_atom_site_fract_z
Ba1 0.169 0.331 0.000
W1 0.000 0.000 0.500
F1 0.117 0.617 0.500
```